No. 1
# CuPtI6, optimized geometry, DFT PBE-GGA
data_CuPtI6
_chemical_formula_sum 'Cu2 Pt2 I12'
_space_group_name_H-M_alt 'C 1 2/m 1'
_space_group_IT_number 12
_cell_length_a 9.409
_cell_length_b 10.939
_cell_length_c 7.679
_cell_angle_alpha 90.00
_cell_angle_beta 119.75
_cell_angle_gamma 90.00
loop_
_space_group_symop_operation_xyz
'x,y,z'
'-x,-y,-z'
'-x,y,-z'
'x,-y,z'
'x+1/2,y+1/2,z'
'-x+1/2,-y+1/2,-z'
'-x+1/2,y+1/2,-z'
'x+1/2,-y+1/2,z'
loop_
_atom_site_label
_atom_site_fract_x
_atom_site_fract_y
_atom_site_fract_z
Cu1 0.000 0.000 0.000
Pt1 0.000 0.000 0.500
I1 0.039 0.166 0.268
I2 0.168 0.500 0.239
# Uncorrected formation energy   -0.088 eV/atom
# ΔE to the lowest computed polymorph   0 meV per atom
# VASP energy   -2.52 eV/atom

No. 2
# CuPt2I8, optimized geometry, DFT PBE-GGA
data_CuPt2I8
_chemical_formula_sum 'Cu2 Pt4 I16'
_space_group_name_H-M_alt 'C 1 2/m 1'
_space_group_IT_number 12
_cell_length_a 12.490
_cell_length_b 9.808
_cell_length_c 10.535
_cell_angle_alpha 90.00
_cell_angle_beta 123.46
_cell_angle_gamma 90.00
loop_
_space_group_symop_operation_xyz
'x,y,z'
'-x,-y,-z'
'-x,y,-z'
'x,-y,z'
'x+1/2,y+1/2,z'
'-x+1/2,-y+1/2,-z'
'-x+1/2,y+1/2,-z'
'x+1/2,-y+1/2,z'
loop_
_atom_site_label
_atom_site_fract_x
_atom_site_fract_y
_atom_site_fract_z
Cu1 0.000 0.000 0.000
Pt1 0.184 0.500 0.583
I1 0.032 0.500 0.685
I2 0.144 0.183 0.193
I3 0.190 0.000 0.552
# Uncorrected formation energy   -0.025 eV/atom
# VASP energy   -2.62 eV/atom